First-principles (PBE-GGA) data for crystalline Na3HO2 at its relaxed geometry, as listed in Alexandria.

## Properties
crystal system	monoclinic
space-group type	No. 9
total energy	-4.10	eV per atom
relative energy among the computed polymorphs	0	meV per atom

```
data_Na3HO2
_cell_length_a 5.9075
_cell_length_b 6.6600
_cell_length_c 6.6599
_cell_angle_alpha 49.78
_cell_angle_beta 63.66
_cell_angle_gamma 63.66
_space_group_name_H-M_alt 'P 1'
_space_group_IT_number 1
_space_group_name_Hall 'P 1'
loop_
_atom_site_label
_atom_site_type_symbol
_atom_site_fract_x
_atom_site_fract_y
_atom_site_fract_z
_atom_site_occupancy
Na1 Na 0.7322 0.5177 0.5182 1
Na2 Na 0.9695 0.7811 0.7801 1
Na3 Na 0.0308 0.2190 0.2174 1
Na4 Na 0.2322 0.5181 0.5178 1
O1 O 0.3471 0.4417 0.8640 1
O2 O 0.1193 0.1593 0.6026 1
H1 H 0.5511 0.7895 0.1093 1
Na5 Na 0.4695 0.7801 0.7811 1
O3 O 0.6193 0.6026 0.1593 1
Na6 Na 0.5308 0.2174 0.2190 1
H2 H 0.0511 0.1093 0.7895 1
O4 O 0.8470 0.8640 0.4417 1
```

---

First-principles (PBE-GGA) data for crystalline Cd6SbPd12 at its relaxed geometry, as listed in Alexandria.

## Properties
DOS(E_F)	11.4	states/eV/cell
crystal system	trigonal
space-group type	No. 148
total energy	-3.96	eV per atom

```
data_Cd6SbPd12
_cell_length_a 7.1566
_cell_length_b 7.1566
_cell_length_c 7.1566
_cell_angle_alpha 101.58
_cell_angle_beta 101.58
_cell_angle_gamma 101.58
_space_group_name_H-M_alt 'P 1'
_space_group_IT_number 1
_space_group_name_Hall 'P 1'
loop_
_atom_site_label
_atom_site_type_symbol
_atom_site_fract_x
_atom_site_fract_y
_atom_site_fract_z
_atom_site_occupancy
Pd1 Pd 0.4081 0.8180 0.4093 1
Pd2 Pd 0.7444 0.2559 0.9993 1
Cd1 Cd 0.1757 0.1740 0.4427 1
Pd3 Pd 0.2556 0.7441 0.0007 1
Cd2 Cd 0.5573 0.8243 0.8260 1
Cd3 Cd 0.8243 0.8260 0.5573 1
Pd4 Pd 0.2559 0.9993 0.7444 1
Cd4 Cd 0.4427 0.1757 0.1740 1
Pd5 Pd 0.5907 0.5919 0.1820 1
Pd6 Pd 0.9993 0.7444 0.2559 1
Cd5 Cd 0.8260 0.5573 0.8243 1
Pd7 Pd 0.4093 0.4081 0.8180 1
Cd6 Cd 0.1740 0.4427 0.1757 1
Pd8 Pd 0.5919 0.1820 0.5907 1
Pd9 Pd 0.1820 0.5907 0.5919 1
Pd10 Pd 0.8180 0.4093 0.4081 1
Sb1 Sb 0.0000 0.0000 0.0000 1
Pd11 Pd 0.7441 0.0007 0.2556 1
Pd12 Pd 0.0007 0.2556 0.7441 1
```

---

First-principles (PBE-GGA) data for crystalline LaTb2ScIn4 at its relaxed geometry, as listed in Alexandria.

## Properties
DOS(E_F)	4.4	states/eV/cell
crystal system	trigonal
space-group type	No. 166
total energy	-4.38	eV per atom
calculated formation energy	-0.441	eV/atom

```
data_LaTb2ScIn4
_cell_length_a 5.3234
_cell_length_b 5.3234
_cell_length_c 9.3041
_cell_angle_alpha 73.38
_cell_angle_beta 73.38
_cell_angle_gamma 60.00
_space_group_name_H-M_alt 'P 1'
_space_group_IT_number 1
_space_group_name_Hall 'P 1'
loop_
_atom_site_label
_atom_site_type_symbol
_atom_site_fract_x
_atom_site_fract_y
_atom_site_fract_z
_atom_site_occupancy
Sc1 Sc 0.5000 0.5000 0.5000 1
In1 In 0.8715 0.8715 0.3856 1
In2 In 0.6206 0.6206 0.1381 1
In3 In 0.1285 0.1285 0.6144 1
Tb1 Tb 0.2487 0.2487 0.2539 1
La1 La 0.0000 0.0000 0.0000 1
In4 In 0.3794 0.3794 0.8619 1
Tb2 Tb 0.7513 0.7513 0.7461 1
```

---

First-principles (PBE-GGA) data for crystalline LaRh3 at its relaxed geometry, as listed in Alexandria.

## Properties
DOS(E_F)	7.8	states/eV/cell
crystal system	trigonal
space-group type	No. 166
total energy	-6.42	eV per atom
calculated formation energy	0.330	eV/atom

```
data_LaRh3
_cell_length_a 9.6352
_cell_length_b 9.6352
_cell_length_c 9.6352
_cell_angle_alpha 17.45
_cell_angle_beta 17.45
_cell_angle_gamma 17.45
_space_group_name_H-M_alt 'P 1'
_space_group_IT_number 1
_space_group_name_Hall 'P 1'
loop_
_atom_site_label
_atom_site_type_symbol
_atom_site_fract_x
_atom_site_fract_y
_atom_site_fract_z
_atom_site_occupancy
La1 La 0.0000 0.0000 0.0000 1
Rh1 Rh 0.7597 0.7597 0.7597 1
Rh2 Rh 0.5000 0.5000 0.5000 1
Rh3 Rh 0.2403 0.2403 0.2403 1
```